Entry P
{
  "formula": "BaTaTe2N",
  "functional": "PBE",
  "state": "relaxed",
  "cell": [[-2.065, -3.273, -4.780], [1.697, -5.193, 2.823], [-3.798, -0.254, 1.815]],
  "species": ["Te", "Ba", "N", "Ta", "Te"],
  "frac_coords": [[0.000, 0.500, 0.000], [0.000, 0.000, 0.000], [0.000, 0.000, 0.500], [0.500, 0.500, 0.500], [0.500, 0.000, 0.000]],
  "m_tot_mub_per_atom": 0.00
}


Entry Q
{
  "formula": "BaTaTe2N",
  "functional": "PBE",
  "state": "relaxed",
  "cell": [[-3.269, -4.541, 1.340], [4.676, -3.352, 0.052], [0.518, 0.784, 3.918]],
  "species": ["Te", "N", "Te", "Ta", "Ba"],
  "frac_coords": [[0.500, 0.000, 0.000], [0.000, 0.000, 0.500], [0.000, 0.500, 0.000], [0.000, 0.000, 0.000], [0.500, 0.500, 0.500]],
  "m_tot_mub_per_atom": 0.00
}


Most stable to least stable: entry Q, entry P


Entry P
{
  "formula": "BaTbN",
  "functional": "PBE",
  "state": "relaxed",
  "cell": [[-1.189, 3.501, -0.054], [-2.438, -2.780, 0.047], [3.376, 1.358, 13.762]],
  "species": ["Ba", "Ba", "Tb", "N", "Tb", "N"],
  "frac_coords": [[0.687, 0.375, 0.341], [0.313, 0.625, 0.659], [0.764, 0.529, 0.873], [0.059, 0.119, 0.804], [0.236, 0.471, 0.127], [0.941, 0.881, 0.196]],
  "m_tot_mub_per_atom": 0.06
}


Entry Q
{
  "formula": "BaTbN",
  "functional": "PBE",
  "state": "relaxed",
  "cell": [[-3.712, -5.743, 1.161], [1.617, -1.637, -2.925], [1.526, -0.303, 3.381]],
  "species": ["N", "Tb", "Ba"],
  "frac_coords": [[0.273, 0.333, 0.667], [0.150, 0.000, 0.000], [0.577, 0.667, 0.333]],
  "m_tot_mub_per_atom": 0.00
}


Most stable to least stable: entry P, entry Q


Entry P
{
  "formula": "BaTc2N2",
  "functional": "PBE",
  "state": "relaxed",
  "cell": [[7.536, 0.000, 0.000], [0.000, 7.536, 0.000], [0.000, 0.000, 2.825]],
  "species": ["Ba", "Tc", "Ba", "N", "Tc", "N", "Tc", "N", "Tc", "N"],
  "frac_coords": [[0.000, 0.000, 0.000], [0.888, 0.612, 0.000], [0.500, 0.500, 0.000], [0.612, 0.888, 0.500], [0.388, 0.888, 0.000], [0.112, 0.612, 0.500], [0.612, 0.112, 0.000], [0.388, 0.112, 0.500], [0.112, 0.388, 0.000], [0.888, 0.388, 0.500]],
  "m_tot_mub_per_atom": 0.00
}


Entry Q
{
  "formula": "BaTc2N2",
  "functional": "PBE",
  "state": "relaxed",
  "cell": [[4.178, 0.000, 0.000], [0.000, 4.178, 0.000], [2.089, 2.089, 4.136]],
  "species": ["Ba", "Tc", "Tc", "N", "N"],
  "frac_coords": [[0.000, 0.000, 0.000], [0.359, 0.359, 0.281], [0.641, 0.641, 0.719], [0.750, 0.250, 0.500], [0.250, 0.750, 0.500]],
  "m_tot_mub_per_atom": 0.00
}


Most stable to least stable: entry Q, entry P


Entry P
{
  "formula": "BaTc3N",
  "functional": "PBE",
  "state": "relaxed",
  "cell": [[-0.849, -4.134, -1.007], [1.369, 0.707, -4.056], [4.029, -1.112, 1.166]],
  "species": ["Tc", "Ba", "Tc", "Tc", "N"],
  "frac_coords": [[0.500, 0.000, 0.000], [0.500, 0.500, 0.500], [0.000, 0.500, 0.000], [0.000, 0.000, 0.500], [0.000, 0.000, 0.000]],
  "m_tot_mub_per_atom": 0.45
}


Entry Q
{
  "formula": "BaTc3N",
  "functional": "PBE",
  "state": "relaxed",
  "cell": [[5.324, 0.000, 0.000], [0.000, 5.324, 0.000], [0.000, 0.000, 5.324]],
  "species": ["Tc", "N", "Ba", "Tc", "Tc"],
  "frac_coords": [[0.500, 0.000, 0.000], [0.500, 0.500, 0.500], [0.000, 0.000, 0.000], [0.000, 0.000, 0.500], [0.000, 0.500, 0.000]],
  "m_tot_mub_per_atom": 2.31
}


Most stable to least stable: entry P, entry Q


Entry P
{
  "formula": "Ba2Tc2N",
  "functional": "PBE",
  "state": "relaxed",
  "cell": [[-6.137, -0.524, 1.280], [1.369, -3.117, 5.289], [-2.281, 1.060, 4.956]],
  "species": ["Tc", "Ba", "N", "Tc", "Ba"],
  "frac_coords": [[0.277, 0.277, 0.446], [0.750, 0.250, 0.500], [0.000, 0.000, 0.000], [0.723, 0.723, 0.554], [0.250, 0.750, 0.500]],
  "m_tot_mub_per_atom": 0.27
}


Entry Q
{
  "formula": "Ba2Tc2N",
  "functional": "PBE",
  "state": "relaxed",
  "cell": [[-5.402, 1.254, 1.853], [-2.097, -4.526, -3.050], [0.807, -3.604, 4.792]],
  "species": ["Ba", "Tc", "Ba", "N", "Ba", "N", "Tc", "Tc", "Ba", "Tc"],
  "frac_coords": [[0.319, 0.181, 0.500], [0.171, 0.329, 0.000], [0.181, 0.681, 0.500], [0.000, 0.000, 0.000], [0.681, 0.819, 0.500], [0.500, 0.500, 0.000], [0.671, 0.171, 0.000], [0.329, 0.829, 0.000], [0.819, 0.319, 0.500], [0.829, 0.671, 0.000]],
  "m_tot_mub_per_atom": 0.00
}


Most stable to least stable: entry P, entry Q


Entry P
{
  "formula": "BaTcTe2N",
  "functional": "PBE",
  "state": "relaxed",
  "cell": [[-2.681, -5.560, -1.948], [4.827, -3.300, 2.775], [-2.271, -0.204, 3.708]],
  "species": ["Te", "N", "Ba", "Te", "Tc"],
  "frac_coords": [[0.500, 0.000, 0.000], [0.000, 0.000, 0.500], [0.000, 0.000, 0.000], [0.000, 0.500, 0.000], [0.500, 0.500, 0.500]],
  "m_tot_mub_per_atom": 0.99
}


Entry Q
{
  "formula": "BaTcTe2N",
  "functional": "PBE",
  "state": "relaxed",
  "cell": [[5.775, 0.000, 0.000], [0.000, 5.775, 0.000], [0.000, 0.000, 3.832]],
  "species": ["N", "Te", "Te", "Tc", "Ba"],
  "frac_coords": [[0.000, 0.000, 0.500], [0.000, 0.500, 0.000], [0.500, 0.000, 0.000], [0.000, 0.000, 0.000], [0.500, 0.500, 0.500]],
  "m_tot_mub_per_atom": 0.18
}


Most stable to least stable: entry Q, entry P


Entry P
{
  "formula": "Ba2TeN",
  "functional": "PBE",
  "state": "relaxed",
  "cell": [[-2.574, -1.667, -7.409], [7.593, -0.445, -2.538], [2.573, -5.327, -4.034]],
  "species": ["Ba", "Ba", "Te", "Te", "Ba", "N", "N", "Ba"],
  "frac_coords": [[0.209, 0.625, 0.250], [0.875, 0.791, 0.750], [0.000, 0.000, 0.000], [0.750, 0.250, 0.500], [0.375, 0.459, 0.750], [0.500, 0.500, 0.000], [0.250, 0.750, 0.500], [0.541, 0.125, 0.250]],
  "m_tot_mub_per_atom": 0.25
}


Entry Q
{
  "formula": "Ba2TeN",
  "functional": "PBE",
  "state": "relaxed",
  "cell": [[0.000, 3.978, 3.978], [3.978, 0.000, 3.978], [3.978, 3.978, 0.000]],
  "species": ["Ba", "N", "Ba", "Te"],
  "frac_coords": [[0.750, 0.750, 0.750], [0.000, 0.000, 0.000], [0.250, 0.250, 0.250], [0.500, 0.500, 0.500]],
  "m_tot_mub_per_atom": 0.25
}


Entry R
{
  "formula": "Ba2TeN",
  "functional": "PBE",
  "state": "relaxed",
  "cell": [[5.319, 0.000, 0.000], [2.659, 4.606, 0.000], [2.659, 1.535, 8.312]],
  "species": ["Te", "N", "Ba", "Ba"],
  "frac_coords": [[0.500, 0.500, 0.500], [0.000, 0.000, 0.000], [0.092, 0.092, 0.725], [0.908, 0.908, 0.275]],
  "m_tot_mub_per_atom": 0.25
}


Most stable to least stable: entry P, entry R, entry Q


Entry P
{
  "formula": "Ba3TeN",
  "functional": "PBE",
  "state": "relaxed",
  "cell": [[5.395, 0.008, -1.067], [-0.316, 4.992, -1.553], [0.094, -0.934, 14.650]],
  "species": ["Ba", "N", "Ba", "N", "Ba", "Ba", "Ba", "Te", "Ba", "Te"],
  "frac_coords": [[0.934, 0.617, 0.369], [0.905, 0.059, 0.311], [0.066, 0.383, 0.631], [0.095, 0.941, 0.689], [0.188, 0.127, 0.875], [0.420, 0.088, 0.340], [0.812, 0.873, 0.125], [0.673, 0.597, 0.845], [0.580, 0.912, 0.660], [0.327, 0.403, 0.155]],
  "m_tot_mub_per_atom": 0.00
}


Entry Q
{
  "formula": "Ba3TeN",
  "functional": "PBE",
  "state": "relaxed",
  "cell": [[-0.930, -1.158, 5.364], [1.633, -5.253, -0.851], [5.239, 1.432, 1.218]],
  "species": ["Te", "Ba", "N", "Ba", "Ba"],
  "frac_coords": [[0.500, 0.500, 0.500], [0.000, 0.500, 0.000], [0.000, 0.000, 0.000], [0.000, 0.000, 0.500], [0.500, 0.000, 0.000]],
  "m_tot_mub_per_atom": 0.00
}


Most stable to least stable: entry P, entry Q


Entry P
{
  "formula": "Ba2Te2N",
  "functional": "PBE",
  "state": "relaxed",
  "cell": [[-1.049, -5.481, 3.677], [1.749, -3.821, -5.196], [4.177, -4.563, 0.464]],
  "species": ["Te", "N", "Ba", "Te", "Ba"],
  "frac_coords": [[0.290, 0.290, 0.420], [0.000, 0.000, 0.000], [0.750, 0.250, 0.500], [0.710, 0.710, 0.580], [0.250, 0.750, 0.500]],
  "m_tot_mub_per_atom": 0.00
}


Entry Q
{
  "formula": "Ba2Te2N",
  "functional": "PBE",
  "state": "relaxed",
  "cell": [[-2.967, -7.799, 4.444], [5.511, 2.112, 7.385], [-3.322, 2.302, 1.821]],
  "species": ["N", "Ba", "Te", "Te", "Ba", "Te", "N", "Ba", "Te", "Ba"],
  "frac_coords": [[0.000, 0.000, 0.000], [0.651, 0.849, 0.500], [0.849, 0.651, 0.000], [0.651, 0.151, 0.000], [0.849, 0.349, 0.500], [0.349, 0.849, 0.000], [0.500, 0.500, 0.000], [0.349, 0.151, 0.500], [0.151, 0.349, 0.000], [0.151, 0.651, 0.500]],
  "m_tot_mub_per_atom": 0.60
}


Most stable to least stable: entry Q, entry P


Entry P
{
  "formula": "BaVTeN2",
  "functional": "PBE",
  "state": "relaxed",
  "cell": [[4.385, 0.000, 0.000], [0.000, 4.385, 0.000], [0.000, 0.000, 7.049]],
  "species": ["Ba", "N", "V", "N", "Te"],
  "frac_coords": [[0.000, 0.000, 0.000], [0.000, 0.500, 0.000], [0.500, 0.500, 0.500], [0.500, 0.000, 0.000], [0.000, 0.000, 0.500]],
  "m_tot_mub_per_atom": 0.70
}


Entry Q
{
  "formula": "BaVTeN2",
  "functional": "PBE",
  "state": "relaxed",
  "cell": [[-0.100, 2.737, -3.283], [-4.106, -0.974, -0.687], [-1.470, 3.883, 3.282]],
  "species": ["V", "Ba", "N", "Te", "N"],
  "frac_coords": [[0.000, 0.000, 0.000], [0.500, 0.500, 0.500], [0.000, 0.500, 0.000], [0.000, 0.000, 0.500], [0.500, 0.000, 0.000]],
  "m_tot_mub_per_atom": 0.00
}


Most stable to least stable: entry Q, entry P


Entry P
{
  "formula": "BaVTe2N",
  "functional": "PBE",
  "state": "relaxed",
  "cell": [[-2.552, -2.229, -5.478], [5.730, -2.411, -1.688], [-0.991, -3.746, 1.986]],
  "species": ["N", "Te", "Te", "Ba", "V"],
  "frac_coords": [[0.000, 0.000, 0.500], [0.000, 0.500, 0.000], [0.500, 0.000, 0.000], [0.000, 0.000, 0.000], [0.500, 0.500, 0.500]],
  "m_tot_mub_per_atom": 0.68
}


Entry Q
{
  "formula": "BaVTe2N",
  "functional": "PBE",
  "state": "relaxed",
  "cell": [[-3.705, 2.244, -3.873], [-3.668, -4.404, 0.957], [-1.662, 1.978, 2.736]],
  "species": ["V", "N", "Te", "Ba", "Te"],
  "frac_coords": [[0.000, 0.000, 0.000], [0.000, 0.000, 0.500], [0.000, 0.500, 0.000], [0.500, 0.500, 0.500], [0.500, 0.000, 0.000]],
  "m_tot_mub_per_atom": 0.16
}


Most stable to least stable: entry Q, entry P


Entry P
{
  "formula": "BaTe2WN",
  "functional": "PBE",
  "state": "relaxed",
  "cell": [[-0.043, 1.961, -6.079], [-0.755, -4.214, -1.354], [-6.297, 1.009, 0.370]],
  "species": ["Te", "Ba", "Te", "W", "N"],
  "frac_coords": [[0.000, 0.000, 0.500], [0.000, 0.000, 0.000], [0.500, 0.000, 0.000], [0.500, 0.500, 0.500], [0.000, 0.500, 0.000]],
  "m_tot_mub_per_atom": 0.43
}


Entry Q
{
  "formula": "BaTe2WN",
  "functional": "PBE",
  "state": "relaxed",
  "cell": [[5.694, 0.000, 0.000], [0.000, 5.694, 0.000], [0.000, 0.000, 3.939]],
  "species": ["W", "Ba", "Te", "N", "Te"],
  "frac_coords": [[0.000, 0.000, 0.000], [0.500, 0.500, 0.500], [0.000, 0.500, 0.000], [0.000, 0.000, 0.500], [0.500, 0.000, 0.000]],
  "m_tot_mub_per_atom": 0.04
}


Most stable to least stable: entry Q, entry P